1.
First-principles (PBE) data for crystalline Ti2PdPbBr at its relaxed geometry, as listed in the Alexandria database.

Cell: 4.743 4.775 4.743 Å, 90.00 90.00 90.00°
Fractional positions:
Br 0.000 0.000 0.000
Ti 0.500 0.000 0.000
Ti 0.000 0.000 0.500
Pb 0.500 0.500 0.500
Pd 0.000 0.500 0.000

Computed properties:
DOS at the Fermi energy: 1.2314 states/eV per atom
formation energy without anion corrections: 353 meV/atom
symmetry: P4/mmm, No. 123

2.
First-principles (PBE) data for crystalline KZnAuBr2 at its relaxed geometry, as listed in the Alexandria database.

Cell: 6.046 5.997 6.046 Å, 90.00 90.00 90.00°
Fractional positions:
Zn 0.500 0.500 0.500
Au 0.000 0.500 0.000
Br 0.500 0.000 0.000
Br 0.000 0.000 0.500
K 0.000 0.000 0.000

Computed properties:
DOS at the Fermi energy: 1.3955 states/eV per atom
formation energy without anion corrections: 273 meV/atom
symmetry: P4/mmm, No. 123

The highest formation energy without anion corrections belongs to which entry? Ti2PdPbBr

DOS at the Fermi energy of number 2 (KZnAuBr2)? 1.3955 states/eV per atom

What is the formula in the first record? Ti2PdPbBr

What did the second record say?
First-principles (PBE) data for crystalline KZnAuBr2 at its relaxed geometry, as listed in the Alexandria database.

Cell: 6.046 5.997 6.046 Å, 90.00 90.00 90.00°
Fractional positions:
Zn 0.500 0.500 0.500
Au 0.000 0.500 0.000
Br 0.500 0.000 0.000
Br 0.000 0.000 0.500
K 0.000 0.000 0.000

Computed properties:
DOS at the Fermi energy: 1.3955 states/eV per atom
formation energy without anion corrections: 273 meV/atom
symmetry: P4/mmm, No. 123